Record 1
VASP calculation (PBE) on Ca2NdHg3 after structural relaxation.

Results
Crystal system = tetragonal
Offset from the most stable computed form = 0.022 eV/atom
Uncorrected energy = -2.140 eV per atom
M_tot = 0.2 Bohr magnetons per cell
N(E_F) = 1.0164 states/eV/atom

a b c (Å): 3.811 3.811 11.416
angles (deg): 90.00 90.00 90.00
Fractional coordinates of all 6 atoms:
Ca1 0.000 0.000 0.165
Ca2 0.000 0.000 0.835
Nd1 0.000 0.000 0.500
Hg1 0.500 0.500 0.000
Hg2 0.500 0.500 0.332
Hg3 0.500 0.500 0.668

=====

Record 2
VASP calculation (PBE) on CaNdHg4 after structural relaxation.

Results
Crystal system = monoclinic
Offset from the most stable computed form = 0.027 eV/atom
Uncorrected energy = -1.746 eV per atom
M_tot = 0.0 Bohr magnetons per cell
N(E_F) = 0.4358 states/eV/atom

a b c (Å): 5.700 5.700 8.016
angles (deg): 110.56 110.56 40.86
Fractional coordinates of all 6 atoms:
Ca1 0.000 0.000 0.000
Nd1 0.000 0.000 0.500
Hg1 0.330 0.330 0.163
Hg2 0.332 0.332 0.669
Hg3 0.668 0.668 0.331
Hg4 0.670 0.670 0.837

=====

Record 3
VASP calculation (PBE) on Ca5NdHg4 after structural relaxation.

Results
Crystal system = tetragonal
Uncorrected energy = -2.004 eV per atom
M_tot = 0.0 Bohr magnetons per cell
N(E_F) = 1.2581 states/eV/atom

a b c (Å): 3.762 3.762 20.720
angles (deg): 90.00 90.00 90.00
Fractional coordinates of all 10 atoms:
Ca1 0.000 0.000 0.000
Ca2 0.000 0.000 0.184
Ca3 0.000 0.000 0.367
Ca4 0.000 0.000 0.633
Ca5 0.000 0.000 0.816
Nd1 0.500 0.500 0.500
Hg1 0.500 0.500 0.091
Hg2 0.500 0.500 0.279
Hg3 0.500 0.500 0.721
Hg4 0.500 0.500 0.909

=====

Record 4
VASP calculation (PBE) on CaNd2HgO after structural relaxation.

Results
Crystal system = tetragonal
Uncorrected energy = -4.684 eV per atom
M_tot = 0.0 Bohr magnetons per cell
Uncorrected formation energy = -1324.9 meV/atom
N(E_F) = 0.8062 states/eV/atom

a b c (Å): 4.995 4.995 4.796
angles (deg): 90.00 90.00 90.00
Fractional coordinates of all 5 atoms:
Ca1 0.000 0.000 0.000
Nd1 0.000 0.500 0.500
Nd2 0.500 0.000 0.500
Hg1 0.500 0.500 0.000
O1 0.000 0.000 0.500